Here is TbDyP2 after structural relaxation from the Alexandria database. Energies are from PBE.

Values from the calculation:
V, Å³/cell: 733
Excess energy over the best structure of this formula in the dataset, meV per atom: 0
E_form, eV per atom: -1.61

abc: 8.0347 16.0669 6.9584
angles: 90.00 125.26 90.00
Space group C2/c (No. 15)
Unique sites:
Tb (0.0000, 0.0626, 0.2500) [4 per cell]
Tb (0.0000, 0.3124, 0.2500) [4 per cell]
Dy (0.0000, 0.1874, 0.7500) [4 per cell]
Dy (0.0000, 0.4376, 0.7500) [4 per cell]
P (0.2495, 0.3125, 0.7509) [8 per cell]
P (0.2505, 0.0625, 0.7509) [8 per cell]

Here is CaFeCl after structural relaxation from the Alexandria database. Energies are from PBE.

Values from the calculation:
Formation energy (no corrections), eV per atom: -0.24
V, Å³/cell: 138

abc: 3.3019 3.3019 12.6717
angles: 90.00 90.00 90.00
Space group I4mm (No. 107)
Unique sites:
Ca (0.0000, 0.0000, 0.0000) [2 per cell]
Fe (0.0000, 0.0000, 0.3333) [2 per cell]
Cl (0.0000, 0.0000, 0.6293) [2 per cell]

Here is SrSm5Zn6 after structural relaxation from the Alexandria database. Energies are from PBE.

Values from the calculation:
V, Å³/cell: 597
E_form, eV per atom: -0.28

abc: 5.1903 15.6144 7.3617
angles: 90.00 90.00 90.00
Space group Cmmm (No. 65)
Unique sites:
Sr (0.0000, 0.0000, 0.0000) [2 per cell]
Sm (0.0000, 0.0000, 0.5000) [2 per cell]
Sm (0.0000, 0.3336, 0.0000) [4 per cell]
Sm (0.0000, 0.3350, 0.5000) [4 per cell]
Zn (0.0000, 0.1728, 0.2575) [8 per cell]
Zn (0.0000, 0.5000, 0.2639) [4 per cell]